The following is a DFT calculation (PBE) of a relaxed structure of CaTm2Al.

Results
* energy relative to the elements: 0.0911 eV per atom
* distance to the lowest polymorph of the same formula: 0.234 eV per atom

Lattice parameters (Å, degrees): 3.5143 3.5143 33.8864 90.00 90.00 120.00
With the nearest neighbours (Å) after each atom.
Fractional coordinates of all 12 atoms:
Ca  0.0000  0.0000  0.0000  2 Tm 3.42, 6 Ca 3.51
Ca  0.3333  0.6667  0.6667  2 Tm 3.42, 6 Ca 3.51
Ca  0.6667  0.3333  0.3333  2 Tm 3.42, 6 Ca 3.51
Tm  0.0000  0.0000  0.1008  3 Al 3.02
Tm  0.0000  0.0000  0.8992  3 Al 3.02
Tm  0.3333  0.6667  0.5659  3 Al 3.02
Tm  0.3333  0.6667  0.7674  3 Al 3.02
Tm  0.6667  0.3333  0.2326  3 Al 3.02
Tm  0.6667  0.3333  0.4341  3 Al 3.02
Al  0.0000  0.0000  0.5000  6 Tm 3.02
Al  0.3333  0.6667  0.1667  6 Tm 3.02
Al  0.6667  0.3333  0.8333  6 Tm 3.02

The following is a DFT calculation (PBE) of a relaxed structure of CdSiRu.

Lattice parameters (Å, degrees): 5.9015 5.9015 5.9015 90.00 90.00 90.00
With the nearest neighbours (Å) after each atom.
Fractional coordinates of all 12 atoms:
Cd  0.0000  0.0000  0.0000  4 Si 2.56
Cd  0.0000  0.5000  0.5000  4 Si 2.56
Cd  0.5000  0.0000  0.5000  4 Si 2.56
Cd  0.5000  0.5000  0.0000  4 Si 2.56
Si  0.2500  0.2500  0.2500  4 Cd 2.56, 4 Ru 2.56
Si  0.2500  0.7500  0.7500  4 Cd 2.56, 4 Ru 2.56
Si  0.7500  0.2500  0.7500  4 Cd 2.56, 4 Ru 2.56
Si  0.7500  0.7500  0.2500  4 Cd 2.56, 4 Ru 2.56
Ru  0.0000  0.0000  0.5000  4 Si 2.56
Ru  0.0000  0.5000  0.0000  4 Si 2.56
Ru  0.5000  0.0000  0.0000  4 Si 2.56
Ru  0.5000  0.5000  0.5000  4 Si 2.56

The following is a DFT calculation (PBE) of a relaxed structure of Hf2BeAs.

Results
* energy relative to the elements: -0.6998 eV per atom
* distance to the lowest polymorph of the same formula: 0.000 eV per atom

Lattice parameters (Å, degrees): 5.2440 3.5950 7.4466 90.00 110.15 90.00
With the nearest neighbours (Å) after each atom.
Fractional coordinates of all 8 atoms:
Hf  0.2123  0.2500  0.4202  3 Be 2.64-2.90, 4 As 2.74-2.80
Hf  0.2657  0.7500  0.0695  4 Be 2.66-2.96, 3 As 2.74-2.83
Hf  0.7343  0.2500  0.9305  4 Be 2.66-2.96, 3 As 2.74-2.83
Hf  0.7877  0.7500  0.5798  3 Be 2.64-2.90, 4 As 2.74-2.80
Be  0.1334  0.2500  0.7870  2 As 2.30
Be  0.8666  0.7500  0.2130  2 As 2.30
As  0.3562  0.7500  0.7165  2 Be 2.30
As  0.6438  0.2500  0.2835  2 Be 2.30

The evaluated calculated total energy for the records listed, in turn: -3.58; -5.07; -7.77 eV/atom.